Na2B3C: relaxed, PBE-GGA.

crystal system: monoclinic
offset from the most stable computed form: 2.4 kJ/mol of atoms

Lattice parameters (Å, degrees): 5.7879 17.2901 5.7886 90.00 118.76 90.00
Closest atoms and distances in Å follow each position.
Space group Cm (No. 8)
One atom of each set of equivalent atoms:
Na (0.0000, 0.1238, 0.0000)  9 B 2.69-2.81, 3 C 2.72-2.78, 6 Na 2.89-2.95
Na (0.4985, 0.1262, 0.5016)  9 B 2.69-2.80, 3 C 2.73-2.78, 6 Na 2.89-2.95
Na (0.4990, 0.1249, 0.0004)  8 B 2.67-2.78, 4 C 2.72-2.75, 6 Na 2.89-2.95
Na (0.4991, 0.3750, 0.5009)  10 B 2.70-2.83, 2 C 2.74, 6 Na 2.89-2.95
B (0.1408, 0.5000, 0.3253)  1 C 1.57, 1 B 1.74
B (0.1412, 0.5000, 0.8252)  1 C 1.57, 1 B 1.75
B (0.1654, 0.2497, 0.3422)  3 B 1.72-1.79
B (0.1784, 0.0000, 0.3419)  2 C 1.63-1.65, 1 B 1.71
B (0.1784, 0.0000, 0.8415)  2 C 1.64-1.65, 1 B 1.72
B (0.3237, 0.2495, 0.1427)  1 C 1.57, 1 B 1.75
B (0.3402, 0.2498, 0.6800)  2 C 1.63-1.65, 1 B 1.72
B (0.3407, 0.5000, 0.1674)  3 B 1.71-1.79
B (0.3406, 0.5000, 0.6666)  3 B 1.72-1.79
C (0.1623, 0.2497, 0.8336)  3 B 1.57-1.65
C (0.3319, 0.0000, 0.1639)  3 B 1.57-1.65
C (0.3319, 0.0000, 0.6639)  3 B 1.57-1.65



Na2B3C: relaxed, PBE-GGA.

crystal system: orthorhombic
offset from the most stable computed form: 2.2 kJ/mol of atoms

Lattice parameters (Å, degrees): 2.8244 8.6143 10.4142 90.00 90.00 90.00
Closest atoms and distances in Å follow each position.
Space group Pmm2 (No. 25)
One atom of each set of equivalent atoms:
Na (0.0000, 0.2485, 0.0000)  9 B 2.67-2.83, 3 C 2.75, 4 Na 2.82-2.95
Na (0.0000, 0.2500, 0.5025)  9 B 2.67-2.88, 3 C 2.68-2.77, 6 Na 2.82-2.95
Na (0.5000, 0.2502, 0.2533)  11 B 2.70-2.92, 6 Na 2.82-2.99, 1 C 2.83
Na (0.5000, 0.2524, 0.7511)  7 B 2.68-2.77, 5 C 2.69-2.73, 6 Na 2.82-2.95
B (0.0000, 0.0000, 0.1696)  3 B 1.68-1.74
B (0.0000, 0.0000, 0.3313)  3 B 1.68-1.72
B (0.0000, 0.0000, 0.6857)  1 C 1.55
B (0.0000, 0.5000, 0.1754)  3 B 1.83
B (0.0000, 0.5000, 0.3511)  2 C 1.64, 1 B 1.83
B (0.0000, 0.5000, 0.8290)  3 C 1.65
B (0.5000, 0.0000, 0.0717)  3 B 1.70-1.74
B (0.5000, 0.0000, 0.4262)  3 B 1.67-1.72
B (0.5000, 0.0000, 0.5862)  3 B 1.67-1.75
B (0.5000, 0.0000, 0.9082)  2 C 1.61, 1 B 1.70
B (0.5000, 0.5000, 0.0635)  1 C 1.59
B (0.5000, 0.5000, 0.5905)  3 C 1.64-1.67
C (0.0000, 0.0000, 0.8344)  3 B 1.55-1.61
C (0.0000, 0.5000, 0.6704)  3 B 1.64-1.65
C (0.5000, 0.5000, 0.4303)  3 B 1.64-1.67
C (0.5000, 0.5000, 0.9104)  3 B 1.59-1.65



Na2B3C: relaxed, PBE-GGA.

crystal system: orthorhombic
offset from the most stable computed form: 4.4 kJ/mol of atoms

Lattice parameters (Å, degrees): 8.6135 14.5736 5.0514 90.00 90.00 90.00
Closest atoms and distances in Å follow each position.
Space group Amm2 (No. 38)
One atom of each set of equivalent atoms:
Na (0.2470, 0.0000, 0.0000)  1 C 2.72, 11 B 2.72-2.85, 6 Na 2.90-2.93
Na (0.2473, 0.2007, 0.0032)  8 B 2.66-2.77, 4 C 2.71-2.77, 6 Na 2.91-2.92
Na (0.2492, 0.0998, 0.5029)  9 B 2.69-2.78, 3 C 2.72-2.75, 6 Na 2.90-2.93
B (0.0000, 0.0000, 0.3572)  1 C 1.56
B (0.0000, 0.1008, 0.1650)  3 B 1.72-1.77
B (0.0000, 0.1007, 0.8239)  2 C 1.65-1.67, 1 B 1.72
B (0.0000, 0.2046, 0.3463)  2 C 1.63-1.66, 1 B 1.77
B (0.5000, 0.0000, 0.3209)  3 B 1.73-1.78
B (0.5000, 0.0000, 0.6723)  3 B 1.68-1.78
B (0.5000, 0.1007, 0.8353)  3 B 1.68-1.76
B (0.5000, 0.1088, 0.1834)  1 C 1.58, 2 B 1.73-1.76
B (0.5000, 0.2060, 0.6643)  2 C 1.62, 1 B 1.76
C (0.0000, 0.0000, 0.6658)  3 B 1.56-1.67
C (0.0000, 0.1999, 0.6684)  3 B 1.63-1.66
C (0.5000, 0.2021, 0.3430)  3 B 1.58-1.62



| no. | formation energy (meV per atom) | final energy (eV per atom) | Fermi-level density of states (states/eV/atom) |
| --- | --- | --- | --- |
| 1 | 158 | -5.16 | 0.17 |
| 2 | 156 | -5.16 | 0.14 |
| 3 | 179 | -5.14 | 0.19 |